# 1
Here is crystalline La2YSn3 at its relaxed geometry from Alexandria via LeMat-Bulk. Energies are from PBE.

POSCAR file:
```
La2YSn3
1.0
-2.6432 3.2237 5.7262
2.6432 -3.2237 5.7262
2.6432 3.2237 -5.7262
La Y Sn
2 1 3
direct
0.1737 0.1737 0.0000
0.8263 0.8263 0.0000
0.5000 0.5000 0.0000
0.0000 0.5000 0.5000
0.3566 0.8566 0.5000
0.6434 0.1434 0.5000
```

Output
volume: 32.53 Å³/atom
energy of formation: -615 meV per atom
total magnetization: 0.00 μB/atom



# 2
Here is crystalline NdTm5Te6 at its relaxed geometry from Alexandria via LeMat-Bulk. Energies are from PBE.

POSCAR file:
```
NdTm5Te6
1.0
3.7738 -6.4786 0.0000
3.7738 6.4786 0.0000
-2.4464 0.0000 7.0640
Nd Tm Te
1 5 6
direct
0.0000 0.0000 0.0000
0.1516 0.8484 0.5000
0.3319 0.6681 0.0000
0.5000 0.5000 0.5000
0.6681 0.3319 0.0000
0.8484 0.1516 0.5000
0.0867 0.4342 0.2610
0.2661 0.2661 0.7548
0.4342 0.0867 0.2610
0.5658 0.9133 0.7390
0.7339 0.7339 0.2452
0.9133 0.5658 0.7390
```

Output
volume: 28.78 Å³/atom
raw formation energy: -1.21 eV/atom
total magnetization: 0.00 μB/atom